w | DFT (GGA-PBE) results for a relaxed structure of LaZrCu2.

Geometry as POSCAR:
```
LaZrCu2
1.0
-0.2797 -4.2461 0.4061
1.2195 -0.3924 -3.2631
5.8868 -0.3558 0.3342
Cu La Zr
2 1 1
Direct
0.0000 0.2002 0.9777
0.5000 0.0692 0.2351
0.0000 0.4673 0.4379
0.5000 0.7633 0.8492
```



x | DFT (GGA-PBE) results for a relaxed structure of LaZrCu2.

Geometry as POSCAR:
```
LaZrCu2
1.0
-3.9867 5.3113 -3.7452
-3.1739 -5.4253 -4.3154
-5.8351 -0.3343 -2.0233
Cu Zr La
4 2 2
Direct
0.5949 0.1250 0.2500
0.1551 0.6250 0.2500
0.3750 0.4051 0.7500
0.8750 0.8449 0.7500
0.5000 0.5000 0.0000
0.2500 0.7500 0.5000
0.0000 0.0000 0.0000
0.7500 0.2500 0.5000
```



y | DFT (GGA-PBE) results for a relaxed structure of LaZrCu2.

Geometry as POSCAR:
```
LaZrCu2
1.0
5.8766 0.0129 -0.0545
3.0497 5.0234 0.0545
-4.0066 -3.3273 2.7228
Cu La Zr
2 1 1
Direct
0.9639 0.9639 0.0000
0.7850 0.2850 0.5000
0.5170 0.5170 0.0000
0.2341 0.7341 0.5000
```



w is preferred energetically. Next in line: 92 meV per atom higher.



w | DFT (GGA-PBE) results for a relaxed structure of LaZrCu2.

Geometry as POSCAR:
```
LaZrCu2
1.0
-0.9375 3.6219 4.2300
-1.6147 -2.0869 4.9928
4.0528 -0.9893 -3.8061
Cu La Zr
2 1 1
Direct
0.0000 0.0000 0.0000
0.2500 0.7500 0.5000
0.5000 0.5000 0.0000
0.7500 0.2500 0.5000
```



x | DFT (GGA-PBE) results for a relaxed structure of LaZrCu2.

Geometry as POSCAR:
```
LaZrCu2
1.0
6.0605 0.0066 0.0042
4.5126 4.0456 0.0042
4.5126 1.7295 3.6573
Cu La Zr
2 1 1
Direct
0.9709 0.9709 0.9709
0.3070 0.3070 0.3070
0.5181 0.5181 0.5181
0.7039 0.7039 0.7039
```



y | DFT (GGA-PBE) results for a relaxed structure of LaZrCu2.

Geometry as POSCAR:
```
LaZrCu2
1.0
3.4040 0.0000 0.0000
0.0000 3.4097 0.0257
0.0000 3.3534 7.1553
Zr Cu La
1 2 1
Direct
0.5000 0.7500 0.7500
0.0000 0.0533 0.9467
0.0000 0.4467 0.5533
0.5000 0.2500 0.2500
```



y is preferred energetically. Next in line: 75 meV per atom higher.



w | DFT (GGA-PBE) results for a relaxed structure of La2ZrCu.

Geometry as POSCAR:
```
La2ZrCu
1.0
5.6628 -0.0838 0.0000
1.6906 5.4052 0.0000
-3.6767 -2.6607 3.3878
Cu La Zr
1 2 1
Direct
0.7500 0.2500 0.5000
0.0000 0.0000 0.0000
0.5000 0.5000 0.0000
0.2500 0.7500 0.5000
```



x | DFT (GGA-PBE) results for a relaxed structure of La2ZrCu.

Geometry as POSCAR:
```
La2ZrCu
1.0
-0.4826 -1.2596 3.2082
-1.6236 -2.7744 -1.3336
7.6947 -4.2561 -0.5136
Cu Zr La
1 1 2
Direct
0.5000 0.5000 0.4235
0.0000 0.0000 0.2726
0.0000 0.0000 0.6590
0.5000 0.5000 0.0026
```



x is preferred energetically. Next in line: 222 meV per atom higher.



w | DFT (GGA-PBE) results for a relaxed structure of La2ZrCu.

Geometry as POSCAR:
```
La2ZrCu
1.0
-0.8754 -4.3012 -0.6080
4.2786 -0.9609 0.6380
-0.1117 -3.7440 10.4983
Cu Zr La
2 2 4
Direct
0.5000 0.5000 0.0000
0.2500 0.7500 0.5000
0.0000 0.0000 0.0000
0.7500 0.2500 0.5000
0.6045 0.1250 0.2500
0.1455 0.6250 0.2500
0.3750 0.3955 0.7500
0.8750 0.8545 0.7500
```



x | DFT (GGA-PBE) results for a relaxed structure of La2ZrCu.

Geometry as POSCAR:
```
La2ZrCu
1.0
-3.5212 -0.2963 0.3411
0.4379 -1.5768 3.1503
-0.2694 7.6536 3.8684
Cu Zr La
1 1 2
Direct
0.0000 0.0000 0.0000
0.0000 0.0000 0.5000
0.5000 0.5000 0.2214
0.5000 0.5000 0.7786
```



x is preferred energetically. Next in line: 445 meV per atom higher.